Record 1
Computed, not measured: a relaxed Er3TmPb2 crystal at the PBE level of DFT.

a = 4.8910 Å, b = 15.7604 Å, c = 4.3786 Å
α = 90.00°, β = 90.00°, γ = 90.00°
Closest atoms and distances in Å follow each position.
Element x y z (fractional)
Er 0.0000 0.0000 0.0000  4 Pb 3.24, 4 Tm 3.28
Er 0.0000 0.3259 0.0000  6 Pb 3.30-3.52, 4 Er 3.42-3.68, 2 Tm 3.51
Er 0.0000 0.6741 0.0000  6 Pb 3.30-3.52, 4 Er 3.42-3.68, 2 Tm 3.51
Er 0.5000 0.1741 0.0000  6 Pb 3.30-3.52, 4 Er 3.42-3.68, 2 Tm 3.51
Er 0.5000 0.5000 0.0000  4 Pb 3.24, 4 Tm 3.28
Er 0.5000 0.8259 0.0000  6 Pb 3.30-3.52, 4 Er 3.42-3.68, 2 Tm 3.51
Tm 0.0000 0.5000 0.5000  8 Er 3.28-3.51, 4 Pb 3.42
Tm 0.5000 0.0000 0.5000  8 Er 3.28-3.51, 4 Pb 3.42
Pb 0.0000 0.1514 0.5000  8 Er 3.24-3.52, 2 Tm 3.42
Pb 0.0000 0.8486 0.5000  8 Er 3.24-3.52, 2 Tm 3.42
Pb 0.5000 0.3486 0.5000  8 Er 3.24-3.52, 2 Tm 3.42
Pb 0.5000 0.6514 0.5000  8 Er 3.24-3.52, 2 Tm 3.42

## Properties
SG   Cmmm
D(E_F)   12.66 states/eV/cell
Formation energy from the elements   -2.03 eV per formula unit
Excess energy over the best structure of this formula in the dataset   0.34 eV per formula unit

Record 2
Computed, not measured: a relaxed CaTaAg crystal at the PBE level of DFT.

a = 3.9568 Å, b = 3.9568 Å, c = 8.4334 Å
α = 90.00°, β = 90.00°, γ = 90.00°
Closest atoms and distances in Å follow each position.
Element x y z (fractional)
Ca 0.2500 0.7500 0.0000  4 Ca 2.80, 4 Ag 3.00
Ca 0.7500 0.2500 0.0000  4 Ca 2.80, 4 Ag 3.00
Ta 0.2500 0.2500 0.4192  1 Ag 2.65
Ta 0.7500 0.7500 0.5808  1 Ag 2.65
Ag 0.2500 0.2500 0.7332  1 Ta 2.65
Ag 0.7500 0.7500 0.2668  1 Ta 2.65

## Properties
SG   P4/nmm
D(E_F)   5.86 states/eV/cell
Formation energy from the elements   2.56 eV per formula unit
Excess energy over the best structure of this formula in the dataset   2.19 eV per formula unit

Record 3
Computed, not measured: a relaxed TcGeMo crystal at the PBE level of DFT.

a = 9.2435 Å, b = 2.9500 Å, c = 7.7971 Å
α = 90.00°, β = 113.40°, γ = 90.00°
Closest atoms and distances in Å follow each position.
Element x y z (fractional)
Tc 0.1485 0.0000 0.0391  1 Ge 2.48, 3 Tc 2.57-2.64, 2 Mo 2.63
Tc 0.3515 0.5000 0.9609  1 Ge 2.48, 3 Tc 2.57-2.64, 2 Mo 2.63
Tc 0.6485 0.5000 0.0391  1 Ge 2.48, 3 Tc 2.57-2.64, 2 Mo 2.63
Tc 0.8515 0.0000 0.9609  1 Ge 2.48, 3 Tc 2.57-2.64, 2 Mo 2.63
Ge 0.2148 0.5000 0.6158  1 Tc 2.48, 2 Mo 2.60-2.70, 2 Ge 2.61
Ge 0.2852 0.0000 0.3842  1 Tc 2.48, 2 Mo 2.60-2.70, 2 Ge 2.61
Ge 0.7148 0.0000 0.6158  1 Tc 2.48, 2 Mo 2.60-2.70, 2 Ge 2.61
Ge 0.7852 0.5000 0.3842  1 Tc 2.48, 2 Mo 2.60-2.70, 2 Ge 2.61
Mo 0.0056 0.5000 0.2568  4 Ge 2.60-2.79, 2 Tc 2.63
Mo 0.4944 0.0000 0.7432  4 Ge 2.60-2.79, 2 Tc 2.63
Mo 0.5056 0.0000 0.2568  4 Ge 2.60-2.79, 2 Tc 2.63
Mo 0.9944 0.5000 0.7432  4 Ge 2.60-2.79, 2 Tc 2.63

## Properties
SG   C2/m
D(E_F)   8.79 states/eV/cell
Formation energy from the elements   0.47 eV per formula unit
Excess energy over the best structure of this formula in the dataset   0.56 eV per formula unit

Record 4
Computed, not measured: a relaxed CaDy5Er4 crystal at the PBE level of DFT.

a = 3.5475 Å, b = 3.5475 Å, c = 25.3248 Å
α = 90.00°, β = 90.00°, γ = 90.00°
Closest atoms and distances in Å follow each position.
Element x y z (fractional)
Ca 0.0000 0.0000 0.0000  4 Ca 3.55, 8 Dy 3.77
Dy 0.5000 0.5000 0.1113  4 Er 3.46, 4 Dy 3.55, 4 Ca 3.77
Dy 0.5000 0.5000 0.3048  8 Er 3.52-3.55, 4 Dy 3.55
Dy 0.5000 0.5000 0.5000  8 Er 3.53, 4 Dy 3.55
Dy 0.5000 0.5000 0.6952  8 Er 3.52-3.55, 4 Dy 3.55
Dy 0.5000 0.5000 0.8887  4 Er 3.46, 4 Dy 3.55, 4 Ca 3.77
Er 0.0000 0.0000 0.2057  8 Dy 3.46-3.55, 4 Er 3.55
Er 0.0000 0.0000 0.4020  8 Dy 3.52-3.53, 4 Er 3.55
Er 0.0000 0.0000 0.5980  8 Dy 3.52-3.53, 4 Er 3.55
Er 0.0000 0.0000 0.7943  8 Dy 3.46-3.55, 4 Er 3.55

## Properties
SG   P4/mmm
D(E_F)   14.06 states/eV/cell
Formation energy from the elements   0.41 eV per formula unit

Record 5
Computed, not measured: a relaxed Sr2AgHPt crystal at the PBE level of DFT.

a = 5.2230 Å, b = 5.2230 Å, c = 3.9913 Å
α = 90.00°, β = 90.00°, γ = 90.00°
Closest atoms and distances in Å follow each position.
Element x y z (fractional)
Sr 0.0000 0.5000 0.0000  2 H 2.61
Sr 0.5000 0.0000 0.0000  2 H 2.61
Ag 0.0000 0.0000 0.5000  2 H 2.00
H 0.0000 0.0000 0.0000  2 Ag 2.00
Pt 0.5000 0.5000 0.5000  8 Sr 3.29

## Properties
SG   P4/mmm
D(E_F)   1.46 states/eV/cell
Excess energy over the best structure of this formula in the dataset   0.40 eV per formula unit

Record 6
Computed, not measured: a relaxed AcTe2 crystal at the PBE level of DFT.

a = 4.3827 Å, b = 4.3827 Å, c = 10.6167 Å
α = 90.00°, β = 90.00°, γ = 90.00°
Closest atoms and distances in Å follow each position.
Element x y z (fractional)
Ac 0.0000 0.0000 0.0000  10 Te 3.49-3.71
Ac 0.5000 0.5000 0.5000  10 Te 3.49-3.71
Te 0.0000 0.0000 0.3494  1 Te 3.20, 4 Ac 3.49
Te 0.0000 0.0000 0.6506  1 Te 3.20, 4 Ac 3.49
Te 0.5000 0.5000 0.1506  1 Te 3.20, 4 Ac 3.49
Te 0.5000 0.5000 0.8494  1 Te 3.20, 4 Ac 3.49

## Properties
SG   I4/mmm
D(E_F)   5.60 states/eV/cell
Formation energy without anion corrections   -27.51 kcal/mol of atoms
Excess energy over the best structure of this formula in the dataset   0.67 eV per formula unit

Record 7
Computed, not measured: a relaxed Cd3SI crystal at the PBE level of DFT.

a = 5.8193 Å, b = 5.8193 Å, c = 5.8193 Å
α = 90.00°, β = 90.00°, γ = 90.00°
Closest atoms and distances in Å follow each position.
Element x y z (fractional)
Cd 0.0000 0.0000 0.5000  2 I 2.91
Cd 0.0000 0.5000 0.0000  2 I 2.91
Cd 0.5000 0.0000 0.0000  2 I 2.91
S 0.5000 0.5000 0.5000  12 Cd 4.11
I 0.0000 0.0000 0.0000  6 Cd 2.91

## Properties
SG   Pm-3m
D(E_F)   4.80 states/eV/cell
Formation energy without anion corrections   16.35 kcal/mol of atoms
Excess energy over the best structure of this formula in the dataset   3.57 eV per formula unit

Record 8
Computed, not measured: a relaxed SiNiRh2 crystal at the PBE level of DFT.

a = 2.8333 Å, b = 4.1890 Å, c = 8.6790 Å
α = 90.00°, β = 90.00°, γ = 90.00°
Closest atoms and distances in Å follow each position.
Element x y z (fractional)
Si 0.0000 0.0000 0.0000  2 Ni 2.31, 6 Rh 2.41-2.53
Si 0.5000 0.5000 0.5000  2 Ni 2.31, 6 Rh 2.41-2.53
Ni 0.0000 0.5000 0.7097  2 Si 2.31
Ni 0.5000 0.0000 0.2097  2 Si 2.31
Rh 0.0000 0.0000 0.4933  4 Si 2.53, 2 Ni 2.81, 4 Rh 2.82-2.83
Rh 0.0000 0.5000 0.2751  2 Si 2.41, 4 Ni 2.59
Rh 0.5000 0.0000 0.7751  2 Si 2.41, 4 Ni 2.59
Rh 0.5000 0.5000 0.9933  4 Si 2.53, 2 Ni 2.81, 4 Rh 2.82-2.83

## Properties
SG   Imm2
D(E_F)   9.56 states/eV/cell
Formation energy without anion corrections   -9.50 kcal/mol of atoms

Record 9
Computed, not measured: a relaxed BaYSe2 crystal at the PBE level of DFT.

a = 4.4056 Å, b = 4.4056 Å, c = 6.2105 Å
α = 90.00°, β = 90.00°, γ = 90.00°
Closest atoms and distances in Å follow each position.
Element x y z (fractional)
Ba 0.0000 0.0000 0.0000  6 Se 3.11-3.12
Y 0.5000 0.5000 0.5000  6 Se 3.11-3.12
Se 0.0000 0.0000 0.5000  2 Ba 3.11, 4 Y 3.12
Se 0.5000 0.5000 0.0000  2 Y 3.11, 4 Ba 3.12

## Properties
SG   P4/mmm
D(E_F)   1.24 states/eV/cell
Formation energy without anion corrections   -39.38 kcal/mol of atoms
Excess energy over the best structure of this formula in the dataset   0.72 eV per formula unit

Record 10
Computed, not measured: a relaxed CdIrPbO6 crystal at the PBE level of DFT.

a = 5.5869 Å, b = 5.5869 Å, c = 9.1337 Å
α = 90.00°, β = 90.00°, γ = 120.00°
Closest atoms and distances in Å follow each position.
Element x y z (fractional)
Cd 0.0000 0.0000 0.0000  6 O 2.36
Cd 0.0000 0.0000 0.5000  6 O 2.36
Ir 0.3333 0.6667 0.2500  6 O 1.94
Ir 0.6667 0.3333 0.7500  6 O 1.94
Pb 0.3333 0.6667 0.7500  6 O 2.26
Pb 0.6667 0.3333 0.2500  6 O 2.26
O 0.0431 0.3822 0.1317  1 Ir 1.94
O 0.0431 0.6609 0.3683  1 Ir 1.94
O 0.3391 0.3822 0.3683  1 Ir 1.94
O 0.3391 0.9569 0.1317  1 Ir 1.94
O 0.3822 0.0431 0.6317  1 Ir 1.94
O 0.3822 0.3391 0.8683  1 Ir 1.94
O 0.6178 0.6609 0.1317  1 Ir 1.94
O 0.6178 0.9569 0.3683  1 Ir 1.94
O 0.6609 0.0431 0.8683  1 Ir 1.94
O 0.6609 0.6178 0.6317  1 Ir 1.94
O 0.9569 0.3391 0.6317  1 Ir 1.94
O 0.9569 0.6178 0.8683  1 Ir 1.94

## Properties
SG   P-31c
D(E_F)   10.64 states/eV/cell
Formation energy without anion corrections   -17.41 kcal/mol of atoms

Record 11
Computed, not measured: a relaxed TlH2Cl crystal at the PBE level of DFT.

a = 6.6031 Å, b = 6.6031 Å, c = 6.6031 Å
α = 90.00°, β = 90.00°, γ = 90.00°
Closest atoms and distances in Å follow each position.
Element x y z (fractional)
Tl 0.0000 0.0000 0.0000  8 H 2.86
Tl 0.0000 0.5000 0.5000  8 H 2.86
Tl 0.5000 0.0000 0.5000  8 H 2.86
Tl 0.5000 0.5000 0.0000  8 H 2.86
H 0.2500 0.2500 0.2500  4 Tl 2.86, 4 Cl 2.86
H 0.2500 0.2500 0.7500  4 Tl 2.86, 4 Cl 2.86
H 0.2500 0.7500 0.2500  4 Tl 2.86, 4 Cl 2.86
H 0.2500 0.7500 0.7500  4 Tl 2.86, 4 Cl 2.86
H 0.7500 0.2500 0.2500  4 Tl 2.86, 4 Cl 2.86
H 0.7500 0.2500 0.7500  4 Tl 2.86, 4 Cl 2.86
H 0.7500 0.7500 0.2500  4 Tl 2.86, 4 Cl 2.86
H 0.7500 0.7500 0.7500  4 Tl 2.86, 4 Cl 2.86
Cl 0.0000 0.0000 0.5000  8 H 2.86
Cl 0.0000 0.5000 0.0000  8 H 2.86
Cl 0.5000 0.0000 0.0000  8 H 2.86
Cl 0.5000 0.5000 0.5000  8 H 2.86

## Properties
SG   Fm-3m
D(E_F)   0.66 states/eV/cell
Excess energy over the best structure of this formula in the dataset   4.31 eV per formula unit

Record 12
Computed, not measured: a relaxed Ce3Nd3Ge4 crystal at the PBE level of DFT.

a = 4.2379 Å, b = 7.8674 Å, c = 7.8674 Å
α = 88.95°, β = 90.00°, γ = 90.00°
Closest atoms and distances in Å follow each position.
Element x y z (fractional)
Ce 0.0000 0.0000 0.0000  6 Ge 3.07-3.17
Ce 0.5000 0.3221 0.8269  4 Ge 3.06-3.18
Ce 0.5000 0.8269 0.3221  4 Ge 3.06-3.18
Nd 0.0000 0.1547 0.4964  6 Ge 3.11-3.18
Nd 0.0000 0.4964 0.1547  6 Ge 3.11-3.18
Nd 0.0000 0.6548 0.6548  6 Ge 3.10-3.18
Ge 0.5000 0.1973 0.1973  1 Ge 2.87, 4 Ce 3.06-3.07, 4 Nd 3.18
Ge 0.5000 0.4527 0.4527  1 Ge 2.87, 2 Ce 3.10, 6 Nd 3.10-3.17
Ge 0.5000 0.7052 0.9504  1 Ge 2.70
Ge 0.5000 0.9504 0.7052  1 Ge 2.70

## Properties
SG   Amm2
D(E_F)   19.18 states/eV/cell
Formation energy from the elements   -6.69 eV per formula unit